Entry one
## AgP3O (PBE-GGA)

Data for AgP3O after structural relaxation.

Summary:
* spin magnetization: 2.7 Bohr magnetons per cell

abc: 4.813 4.813 4.813
angles: 90.00 90.00 90.00
Site moments in Bohr magnetons follow the coordinates.
Fractional coordinates of all 5 atoms:
O: 0.500 0.500 0.500  1.21
P: 0.000 0.000 0.500  0.23
P: 0.000 0.500 0.000  0.18
P: 0.500 0.000 0.000  0.16
Ag: 0.000 0.000 0.000  0.05

Entry two
## AgP3O (PBE-GGA)

Data for AgP3O after structural relaxation.

Summary:
* spin magnetization: 0.0 Bohr magnetons per cell

abc: 4.234 4.234 4.234
angles: 90.00 90.00 90.00
Fractional coordinates of all 5 atoms:
P: 0.000 0.000 0.500
P: 0.500 0.000 0.000
P: 0.000 0.500 0.000
Ag: 0.500 0.500 0.500
O: 0.000 0.000 0.000

Result of the stability comparison: entry two is the most stable of them.

Entry one
## Ag3PO4 (PBE-GGA)

Data for Ag3PO4 after structural relaxation.

Summary:
* spin magnetization: 0.0 Bohr magnetons per cell

abc: 5.632 5.908 7.026
angles: 90.00 90.00 90.00
Fractional coordinates of all 16 atoms:
P: 0.496 0.861 0.500
P: 0.996 0.139 0.000
O: 0.720 0.158 0.000
O: 0.220 0.842 0.500
O: 0.068 0.884 0.000
O: 0.102 0.257 0.820
O: 0.568 0.116 0.500
O: 0.602 0.743 0.320
O: 0.602 0.743 0.680
O: 0.102 0.257 0.180
Ag: 0.018 0.627 0.729
Ag: 0.518 0.373 0.229
Ag: 0.990 0.200 0.500
Ag: 0.018 0.627 0.271
Ag: 0.490 0.800 0.000
Ag: 0.518 0.373 0.771

Entry two
## Ag3PO4 (PBE-GGA)

Data for Ag3PO4 after structural relaxation.

Summary:
* spin magnetization: 0.0 Bohr magnetons per cell

abc: 5.365 5.680 5.680
angles: 82.33 61.82 61.82
Fractional coordinates of all 8 atoms:
O: 0.738 0.598 0.402
O: 0.262 0.598 0.402
O: 0.687 0.166 0.460
O: 0.313 0.540 0.834
Ag: 0.000 0.898 0.102
Ag: 0.713 0.820 0.754
Ag: 0.287 0.246 0.180
P: 0.500 0.483 0.517

Result of the stability comparison: entry one is the most stable of them.

Entry one
## AgP2O2 (PBE-GGA)

Data for AgP2O2 after structural relaxation.

Summary:
* spin magnetization: 0.0 Bohr magnetons per cell

abc: 3.484 3.484 5.038
angles: 90.00 90.00 90.00
Fractional coordinates of all 5 atoms:
Ag: 0.500 0.500 0.500
P: 0.000 0.000 0.500
P: 0.000 0.000 0.000
O: 0.500 0.000 0.000
O: 0.000 0.500 0.000

Entry two
## AgP2O2 (PBE-GGA)

Data for AgP2O2 after structural relaxation.

Summary:
* spin magnetization: 0.0 Bohr magnetons per cell

abc: 3.983 3.983 4.184
angles: 90.00 90.00 90.00
Fractional coordinates of all 5 atoms:
P: 0.500 0.000 0.000
P: 0.000 0.500 0.000
O: 0.000 0.000 0.000
O: 0.000 0.000 0.500
Ag: 0.500 0.500 0.500

Result of the stability comparison: entry one is the most stable of them.

Entry one
## AgP2O2 (PBE-GGA)

Data for AgP2O2 after structural relaxation.

Summary:
* spin magnetization: 0.0 Bohr magnetons per cell

abc: 4.767 4.767 3.919
angles: 90.00 90.00 90.00
Fractional coordinates of all 5 atoms:
O: 0.500 0.500 0.500
O: 0.000 0.000 0.500
Ag: 0.000 0.000 0.000
P: 0.000 0.500 0.000
P: 0.500 0.000 0.000

Entry two
## AgP2O2 (PBE-GGA)

Data for AgP2O2 after structural relaxation.

Summary:
* spin magnetization: 0.0 Bohr magnetons per cell

abc: 3.929 3.929 4.981
angles: 90.00 90.00 90.00
Fractional coordinates of all 5 atoms:
Ag: 0.000 0.000 0.000
P: 0.500 0.500 0.500
P: 0.000 0.000 0.500
O: 0.500 0.000 0.000
O: 0.000 0.500 0.000

Result of the stability comparison: entry two is the most stable of them.

Entry one
## AgPO4 (PBE-GGA)

Data for AgPO4 after structural relaxation.

Summary:
* spin magnetization: 0.0 Bohr magnetons per cell

abc: 4.954 4.954 7.688
angles: 83.26 83.26 74.50
Fractional coordinates of all 12 atoms:
O: 0.245 0.793 0.414
O: 0.207 0.755 0.086
O: 0.114 0.225 0.214
O: 0.886 0.775 0.786
O: 0.793 0.245 0.914
O: 0.775 0.886 0.286
O: 0.755 0.207 0.586
O: 0.225 0.114 0.714
Ag: 0.500 0.000 0.500
Ag: 0.000 0.500 0.000
P: 0.080 0.920 0.250
P: 0.920 0.080 0.750

Entry two
## AgPO4 (PBE-GGA)

Data for AgPO4 after structural relaxation.

Summary:
* spin magnetization: 0.0 Bohr magnetons per cell

abc: 5.736 5.736 6.407
angles: 90.00 90.00 67.84
Fractional coordinates of all 12 atoms:
Ag: 0.335 0.335 0.750
Ag: 0.665 0.665 0.250
O: 0.677 0.045 0.750
O: 0.323 0.955 0.250
O: 0.649 0.649 0.933
O: 0.649 0.649 0.567
O: 0.351 0.351 0.433
O: 0.351 0.351 0.067
O: 0.955 0.323 0.250
O: 0.045 0.677 0.750
P: 0.755 0.755 0.750
P: 0.245 0.245 0.250

Entry three
## AgPO4 (PBE-GGA)

Data for AgPO4 after structural relaxation.

Summary:
* spin magnetization: 0.0 Bohr magnetons per cell

abc: 5.103 9.848 15.696
angles: 99.29 99.39 105.00
Fractional coordinates of all 48 atoms:
O: 0.775 0.103 0.199
O: 0.578 0.383 0.948
O: 0.028 0.600 0.698
O: 0.753 0.160 0.721
O: 0.372 0.341 0.779
O: 0.092 0.388 0.893
O: 0.422 0.617 0.052
O: 0.837 0.928 0.077
O: 0.777 0.853 0.861
O: 0.510 0.584 0.869
O: 0.930 0.676 0.549
O: 0.797 0.177 0.049
O: 0.557 0.916 0.632
O: 0.223 0.147 0.139
O: 0.203 0.823 0.951
O: 0.253 0.882 0.448
O: 0.490 0.416 0.131
O: 0.566 0.649 0.639
O: 0.689 0.887 0.393
O: 0.336 0.573 0.423
O: 0.908 0.612 0.107
O: 0.628 0.659 0.221
O: 0.972 0.400 0.302
O: 0.443 0.084 0.368
O: 0.747 0.118 0.552
O: 0.311 0.113 0.607
O: 0.247 0.840 0.279
O: 0.664 0.427 0.577
O: 0.434 0.351 0.361
O: 0.225 0.897 0.801
O: 0.070 0.324 0.451
O: 0.163 0.072 0.923
Ag: 0.393 0.739 0.529
Ag: 0.580 0.251 0.250
Ag: 0.000 0.000 0.500
Ag: 0.375 0.238 0.029
Ag: 0.420 0.749 0.750
Ag: 0.000 0.500 0.000
Ag: 0.625 0.762 0.971
Ag: 0.607 0.261 0.471
P: 0.187 0.410 0.386
P: 0.617 0.579 0.130
P: 0.108 0.910 0.886
P: 0.892 0.090 0.114
P: 0.592 0.079 0.630
P: 0.813 0.590 0.614
P: 0.383 0.421 0.870
P: 0.408 0.921 0.370

Result of the stability comparison: entry one is the most stable of them.

Entry one
## AgPPbO2 (PBE-GGA)

Data for AgPPbO2 after structural relaxation.

Summary:
* spin magnetization: 0.9 Bohr magnetons per cell

abc: 4.135 4.135 5.787
angles: 90.00 90.00 90.00
Site moments in Bohr magnetons follow the coordinates.
Fractional coordinates of all 5 atoms:
Ag: 0.500 0.500 0.500  0.01
O: 0.000 0.500 0.000  0.24
O: 0.500 0.000 0.000  0.24
P: 0.000 0.000 0.500  0.16
Pb: 0.000 0.000 0.000  0.00

Entry two
## AgPPbO2 (PBE-GGA)

Data for AgPPbO2 after structural relaxation.

Summary:
* spin magnetization: 0.0 Bohr magnetons per cell

abc: 4.191 4.191 4.939
angles: 90.00 90.00 90.00
Fractional coordinates of all 5 atoms:
O: 0.500 0.000 0.000
O: 0.000 0.500 0.000
Pb: 0.500 0.500 0.500
P: 0.000 0.000 0.500
Ag: 0.000 0.000 0.000

Result of the stability comparison: entry two is the most stable of them.

Entry one
## Ag2P2PbO7 (PBE-GGA)

Data for Ag2P2PbO7 after structural relaxation.

Summary:
* spin magnetization: 0.0 Bohr magnetons per cell

abc: 5.266 8.252 9.891
angles: 86.88 99.95 119.89
Fractional coordinates of all 24 atoms:
Ag: 0.002 0.812 0.923
Ag: 0.538 0.380 0.918
Ag: 0.462 0.620 0.082
Ag: 0.998 0.188 0.077
O: 0.399 0.754 0.676
O: 0.741 0.576 0.256
O: 0.142 0.487 0.346
O: 0.172 0.625 0.894
O: 0.202 0.014 0.134
O: 0.813 0.034 0.605
O: 0.828 0.375 0.106
O: 0.601 0.246 0.324
O: 0.858 0.513 0.654
O: 0.187 0.966 0.395
O: 0.557 0.927 0.275
O: 0.798 0.986 0.866
O: 0.259 0.424 0.744
O: 0.443 0.073 0.725
Pb: 0.320 0.249 0.559
Pb: 0.680 0.751 0.441
P: 0.155 0.569 0.743
P: 0.629 0.977 0.722
P: 0.845 0.431 0.257
P: 0.371 0.023 0.278

Entry two
## Ag2P2PbO7 (PBE-GGA)

Data for Ag2P2PbO7 after structural relaxation.

Summary:
* spin magnetization: 0.0 Bohr magnetons per cell

abc: 5.463 7.118 10.672
angles: 108.01 92.19 112.24
Fractional coordinates of all 24 atoms:
O: 0.304 0.172 0.046
O: 0.236 0.925 0.275
O: 0.047 0.216 0.337
O: 0.473 0.691 0.707
O: 0.588 0.772 0.497
O: 0.409 0.560 0.199
O: 0.412 0.228 0.503
O: 0.764 0.075 0.725
O: 0.696 0.828 0.954
O: 0.591 0.440 0.801
O: 0.204 0.547 0.864
O: 0.796 0.453 0.136
O: 0.527 0.309 0.293
O: 0.953 0.784 0.663
Pb: 0.858 0.374 0.638
Pb: 0.142 0.626 0.362
Ag: 0.902 0.220 0.963
Ag: 0.321 0.087 0.811
Ag: 0.098 0.780 0.037
Ag: 0.679 0.913 0.189
P: 0.292 0.164 0.358
P: 0.708 0.836 0.642
P: 0.504 0.374 0.159
P: 0.496 0.626 0.841

Result of the stability comparison: entry two is the most stable of them.

Entry one
## AgPPdO2 (PBE-GGA)

Data for AgPPdO2 after structural relaxation.

Summary:
* spin magnetization: 1.7 Bohr magnetons per cell

abc: 3.859 3.859 5.226
angles: 90.00 90.00 90.00
Site moments in Bohr magnetons follow the coordinates.
Fractional coordinates of all 5 atoms:
O: 0.000 0.500 0.000  0.45
O: 0.500 0.000 0.000  0.45
Ag: 0.500 0.500 0.500  0.01
P: 0.000 0.000 0.500  0.06
Pd: 0.000 0.000 0.000  0.50

Entry two
## AgPPdO2 (PBE-GGA)

Data for AgPPdO2 after structural relaxation.

Summary:
* spin magnetization: 1.7 Bohr magnetons per cell

abc: 3.906 3.906 5.201
angles: 90.00 90.00 90.00
Site moments in Bohr magnetons follow the coordinates.
Fractional coordinates of all 5 atoms:
P: 0.000 0.000 0.500  0.19
Ag: 0.000 0.000 0.000  0.09
O: 0.500 0.000 0.000  0.41
O: 0.000 0.500 0.000  0.41
Pd: 0.500 0.500 0.500  0.30

Result of the stability comparison: entry one is the most stable of them.